[1]
6
Lattice="-2.121 -1.622 -1.705 -0.682 -3.259 3.948 -5.443 5.996 4.010" Properties=species:S:1:pos:R:3 comment="NaMgCd | Alexandria | GGA-PBE | relaxed" ef_mev_per_atom=-23 dft_energy_ev_per_cell=-7.80 pbc="T T T"
Na -2.525 -3.322 1.889
Na -5.719 4.438 4.365
Cd -3.639 -0.533 0.621
Cd -4.606 1.649 5.633
Mg -3.624 -0.791 3.789
Mg -4.621 1.906 2.465


[2]
22
Lattice="-5.783 8.283 -5.025 3.478 -8.050 7.099 8.612 11.066 8.329" Properties=species:S:1:pos:R:3 comment="Na3MgCd7 | Alexandria | GGA-PBE | relaxed" ef_mev_per_atom=-47 dft_energy_ev_per_cell=-24.94 pbc="T T T"
Cd -2.698 4.830 -1.209
Cd 6.003 2.611 8.709
Cd 4.421 9.977 6.125
Cd -0.951 3.905 0.835
Cd 2.380 4.669 4.452
Cd 9.005 6.469 11.612
Cd 5.671 5.353 8.032
Cd -0.388 1.112 1.775
Cd 3.927 6.629 5.951
Cd 0.637 5.945 2.371
Cd 1.886 1.322 4.278
Cd 6.695 10.186 8.628
Cd 0.304 8.687 1.694
Cd 7.259 7.394 9.567
Na -4.320 6.740 -3.226
Na 3.253 -1.089 6.067
Na 3.055 12.388 4.335
Na -0.694 11.398 0.280
Na 10.627 4.559 13.628
Na 7.002 -0.100 10.122
Mg 5.418 -4.908 8.902
Mg 0.889 16.206 1.501


[3]
19
Lattice="7.554 -0.017 0.328 0.313 7.548 0.328 -0.018 -0.017 7.561" Properties=species:S:1:pos:R:3 comment="NaMg12Cd6 | Alexandria | GGA-PBE | relaxed" ef_mev_per_atom=-29 dft_energy_ev_per_cell=-26.50 pbc="T T T"
Cd 5.543 2.018 6.990
Cd 5.540 0.879 2.361
Cd 2.307 5.496 1.228
Cd 6.879 5.449 2.575
Cd 0.971 2.065 5.642
Cd 2.310 6.634 5.856
Mg 0.462 2.844 1.312
Mg 1.645 4.335 3.867
Mg 6.205 3.179 4.350
Mg 4.952 6.350 7.696
Mg 6.670 7.177 5.299
Mg 2.898 1.164 0.521
Mg 3.661 1.454 4.575
Mg 4.497 3.594 1.820
Mg 1.180 0.337 2.918
Mg 3.353 3.919 6.397
Mg 4.188 6.060 3.642
Mg 7.388 4.670 6.905
Na 0.000 0.000 0.000


[4]
8
Lattice="4.653 0.000 -0.927 -0.027 3.317 -0.133 0.526 2.426 14.773" Properties=species:S:1:pos:R:3 comment="Na4MgCd3 | Alexandria | GGA-PBE | relaxed" ef_mev_per_atom=13 dft_energy_ev_per_cell=-9.51 pbc="T T T"
Na 3.550 1.993 5.676
Na 1.602 3.750 8.036
Na 2.264 3.929 11.357
Na 2.888 1.814 2.356
Cd 0.897 3.571 4.502
Cd 4.255 2.172 9.210
Cd -0.013 1.658 -0.067
Mg 2.326 0.000 -0.464


[5]
10
Lattice="5.102 0.000 -1.065 -0.325 6.100 -1.556 -0.907 2.091 8.410" Properties=species:S:1:pos:R:3 comment="Na5MgCd4 | Alexandria | GGA-PBE | relaxed" ef_mev_per_atom=-50 dft_energy_ev_per_cell=-12.35 pbc="T T T"
Na 0.620 5.925 2.970
Na 2.388 3.050 -1.310
Na 3.569 5.575 4.345
Na 3.250 2.266 2.820
Na 0.301 2.616 1.444
Cd 1.034 3.045 4.956
Cd -0.044 5.391 -0.213
Cd 3.914 2.800 6.003
Cd 2.836 5.146 0.834
Mg 2.551 0.000 -0.532


[6]
4
Lattice="3.227 1.765 -5.884 -3.307 -5.804 1.877 -5.391 -0.213 4.363" Properties=species:S:1:pos:R:3 comment="NaMgCd2 | Alexandria | GGA-PBE | relaxed" ef_mev_per_atom=154 dft_energy_ev_per_cell=-4.13 pbc="T T T"
Mg -4.349 -3.009 3.120
Cd -2.265 -1.567 1.625
Cd -6.433 -4.450 4.615
Na 0.000 0.000 0.000


[7]
10
Lattice="5.648 0.000 0.000 0.000 5.568 -2.930 0.000 0.611 7.917" Properties=species:S:1:pos:R:3 comment="NaMg3Cd | Alexandria | GGA-PBE | relaxed" ef_mev_per_atom=27 dft_energy_ev_per_cell=-13.76 pbc="T T T"
Na 4.236 3.323 -0.440
Na 1.412 2.856 5.428
Mg 1.412 5.352 -0.049
Mg 0.000 0.000 0.000
Mg 2.824 0.000 0.000
Mg 4.236 0.827 5.037
Mg 1.412 2.496 1.453
Mg 4.236 3.683 3.534
Cd 1.412 5.015 2.775
Cd 4.236 1.164 2.213


[8]
8
Lattice="-1.541 3.289 -3.591 -1.485 -4.080 -3.099 -6.258 0.141 2.815" Properties=species:S:1:pos:R:3 comment="NaMgCd2 | Alexandria | GGA-PBE | relaxed" ef_mev_per_atom=-80 dft_energy_ev_per_cell=-10.13 pbc="T T T"
Na -3.420 -0.730 0.800
Na -1.965 -1.636 -4.287
Mg -5.074 -1.509 -2.837
Mg -0.312 -0.856 -0.650
Cd -2.621 -2.794 -1.434
Cd -2.764 0.429 -2.053
Cd -5.945 0.501 -0.622
Cd -5.698 -2.725 -0.050


[9]
9
Lattice="-2.405 -4.099 3.365 7.378 2.334 3.078 -0.715 3.911 4.254" Properties=species:S:1:pos:R:3 comment="Na4MgCd4 | Alexandria | GGA-PBE | relaxed" ef_mev_per_atom=64 dft_energy_ev_per_cell=-9.95 pbc="T T T"
Cd 2.176 -2.637 5.276
Cd 1.178 3.242 6.687
Cd 2.812 0.376 5.611
Cd 2.352 3.313 3.821
Na 0.042 1.054 4.494
Na 5.104 2.605 4.962
Na 3.953 2.536 7.774
Na -0.582 -1.902 4.165
Mg 0.000 0.000 0.000


[10]
12
Lattice="-4.351 2.425 -3.104 -2.300 -2.875 -4.570 -8.875 -4.391 3.462" Properties=species:S:1:pos:R:3 comment="Na3MgCd8 | Alexandria | GGA-PBE | relaxed" ef_mev_per_atom=-81 dft_energy_ev_per_cell=-13.85 pbc="T T T"
Cd -6.753 0.188 -4.256
Cd -12.888 -4.423 -2.035
Cd -10.155 -4.647 -3.269
Cd -4.579 -1.023 -2.705
Cd -11.179 -2.000 -2.537
Cd -12.328 -3.436 -4.820
Cd -5.728 -2.460 -4.989
Cd -5.132 -2.007 0.078
Na -10.260 -4.011 0.151
Na -7.760 -2.419 -2.109
Na -8.870 -4.388 3.457
Mg -9.174 -2.058 -5.392


[11]
10
Lattice="-0.618 2.313 -3.075 -6.985 -1.731 0.100 1.773 8.142 5.767" Properties=species:S:1:pos:R:3 comment="NaMg2Cd7 | Alexandria | GGA-PBE | relaxed" ef_mev_per_atom=57 dft_energy_ev_per_cell=-10.35 pbc="T T T"
Na 0.000 0.000 0.000
Cd -3.801 0.291 -1.487
Cd -3.907 0.888 1.452
Cd -2.105 2.609 -0.085
Cd -3.725 6.114 2.877
Cd 0.515 7.165 2.816
Cd -6.345 1.558 -0.024
Cd -1.305 5.522 4.415
Mg -4.626 3.780 1.303
Mg -1.204 4.943 1.490


[12]
4
Lattice="-2.573 -1.103 -1.702 -1.572 -2.704 0.975 -8.655 5.373 6.448" Properties=species:S:1:pos:R:3 comment="Na2MgCd | Alexandria | GGA-PBE | relaxed" ef_mev_per_atom=101 dft_energy_ev_per_cell=-4.74 pbc="T T T"
Na -6.112 -2.010 1.082
Na -6.688 3.577 4.639
Cd -6.400 0.783 2.860
Mg 0.000 0.000 0.000


[13]
12
Lattice="4.582 0.002 -1.409 -0.845 7.140 -2.720 0.096 -0.904 8.455" Properties=species:S:1:pos:R:3 comment="NaMg5Cd6 | Alexandria | GGA-PBE | relaxed" ef_mev_per_atom=-88 dft_energy_ev_per_cell=-15.83 pbc="T T T"
Mg 2.936 0.878 1.396
Mg -0.423 3.570 -1.360
Mg 0.896 5.360 2.930
Mg 1.298 1.763 4.224
Mg 2.534 4.475 0.102
Cd 3.386 3.518 2.865
Cd 1.666 5.278 -2.715
Cd 0.447 2.721 1.461
Cd 0.033 6.218 0.129
Cd 2.071 1.864 -1.414
Cd 3.800 0.020 4.197
Na 0.000 0.000 0.000


[14]
18
Lattice="4.600 0.000 0.000 0.000 9.371 0.000 0.000 0.000 9.371" Properties=species:S:1:pos:R:3 comment="NaMg4Cd4 | Alexandria | GGA-PBE | relaxed" ef_mev_per_atom=-60 dft_energy_ev_per_cell=-23.79 pbc="T T T"
Mg 4.600 3.136 9.371
Mg 0.000 9.371 6.235
Mg 2.300 4.686 7.821
Mg 0.000 0.000 3.136
Mg 2.300 1.550 4.686
Mg 2.300 4.685 1.550
Mg 2.300 7.821 4.685
Mg 4.600 6.235 0.000
Cd 2.300 7.787 7.786
Cd 2.300 7.786 1.584
Cd 2.300 1.585 7.787
Cd 2.300 1.584 1.585
Cd 4.600 6.270 6.271
Cd 0.000 6.271 3.101
Cd 0.000 3.100 6.270
Cd 4.600 3.101 3.100
Na 0.000 0.000 0.000
Na 2.300 4.685 4.685


[15]
19
Lattice="7.420 0.127 0.273 -0.261 7.144 3.764 -0.332 -0.056 8.753" Properties=species:S:1:pos:R:3 comment="Na5Mg2Cd12 | Alexandria | GGA-PBE | relaxed" ef_mev_per_atom=-65 dft_energy_ev_per_cell=-21.99 pbc="T T T"
Na 3.920 5.460 7.249
Na 7.151 2.217 4.958
Na 2.907 1.755 5.541
Na 3.710 0.064 0.137
Na -0.325 4.998 7.831
Cd 2.117 3.013 8.328
Cd 4.710 4.202 4.461
Cd 5.195 2.432 7.608
Cd 0.426 0.642 7.482
Cd 4.814 1.368 2.968
Cd 2.013 5.847 9.822
Cd 1.632 4.783 5.181
Cd 5.030 6.944 9.986
Cd 4.557 3.991 10.081
Cd 1.797 0.271 2.804
Cd 6.400 6.573 5.308
Cd 2.269 3.224 2.708
Mg -0.182 4.969 2.618
Mg -0.080 2.174 1.146


[16]
11
Lattice="5.278 0.356 2.356 2.924 7.040 0.749 0.309 0.127 7.653" Properties=species:S:1:pos:R:3 comment="Na2Mg7Cd2 | Alexandria | GGA-PBE | relaxed" ef_mev_per_atom=22 dft_energy_ev_per_cell=-15.39 pbc="T T T"
Mg 3.919 0.829 6.068
Mg 3.268 3.192 8.188
Mg 5.244 4.331 2.570
Mg 2.639 0.178 1.178
Mg 2.689 4.380 5.405
Mg 4.593 6.695 4.690
Mg 5.822 3.144 5.353
Cd 5.078 5.395 7.325
Cd 3.434 2.129 3.432
Na 2.442 5.766 2.022
Na 0.792 1.402 6.380


[17]
11
Lattice="-0.990 -0.530 4.401 3.813 -8.676 -0.187 4.147 7.012 -0.566" Properties=species:S:1:pos:R:3 comment="Na2MgCd8 | Alexandria | GGA-PBE | relaxed" ef_mev_per_atom=-45 dft_energy_ev_per_cell=-12.05 pbc="T T T"
Cd 4.895 -3.093 3.072
Cd 2.075 0.899 0.575
Cd 2.769 3.819 1.083
Cd 3.976 4.620 3.794
Cd 2.267 -1.612 2.659
Cd 4.703 -0.581 0.988
Cd 4.201 -6.013 2.564
Cd 2.995 -6.814 -0.147
Na 3.393 -3.693 0.318
Na 3.577 1.500 3.329
Mg -0.495 -0.265 2.200


[18]
14
Lattice="-3.919 1.285 -2.735 -7.233 -3.733 4.134 -4.692 5.979 5.056" Properties=species:S:1:pos:R:3 comment="Na3Mg2Cd9 | Alexandria | GGA-PBE | relaxed" ef_mev_per_atom=-79 dft_energy_ev_per_cell=-16.49 pbc="T T T"
Cd -5.453 -1.102 2.819
Cd -3.646 -0.583 0.473
Cd -12.923 1.345 5.719
Cd -12.198 4.115 5.982
Cd -10.391 4.633 3.636
Cd -11.489 0.438 3.237
Cd -5.963 1.123 4.595
Cd -4.355 3.094 3.218
Cd -2.921 2.186 0.736
Na -9.617 1.969 5.752
Na -6.227 1.562 0.703
Na 0.000 0.000 0.000
Mg -7.480 3.455 3.388
Mg -8.364 0.077 3.067


[19]
7
Lattice="5.302 1.247 -2.015 0.758 5.394 -2.015 -1.421 -1.558 7.339" Properties=species:S:1:pos:R:3 comment="NaMg4Cd2 | Alexandria | GGA-PBE | relaxed" ef_mev_per_atom=141 dft_energy_ev_per_cell=-8.54 pbc="T T T"
Na 0.000 0.000 0.000
Cd 1.161 1.273 3.843
Cd 3.478 3.811 -0.534
Mg 3.455 1.505 1.654
Mg 0.379 2.697 -1.008
Mg 1.183 3.578 1.654
Mg 2.651 0.624 -1.008


[20]
15
Lattice="-0.927 9.017 1.626 0.397 3.187 8.630 5.467 4.740 2.911" Properties=species:S:1:pos:R:3 comment="Na8MgCd6 | Alexandria | GGA-PBE | relaxed" ef_mev_per_atom=-56 dft_energy_ev_per_cell=-18.48 pbc="T T T"
Na 4.382 8.700 6.411
Na 1.899 11.730 5.835
Na 0.554 8.244 6.756
Na 2.411 6.138 4.125
Na 2.761 7.509 9.821
Na 2.525 10.806 9.042
Na 2.176 9.435 3.346
Na 3.037 5.214 7.333
Cd 4.738 15.789 10.343
Cd -0.530 6.019 1.172
Cd 4.895 11.886 6.928
Cd 5.466 10.924 11.995
Cd 0.041 5.058 6.239
Cd 0.198 1.155 2.824
Mg 0.000 0.000 0.000


[21]
4
Lattice="3.366 0.000 0.000 1.683 2.915 0.000 1.683 0.972 11.067" Properties=species:S:1:pos:R:3 comment="Na2MgCd | Alexandria | GGA-PBE | relaxed" ef_mev_per_atom=44 dft_energy_ev_per_cell=-4.97 pbc="T T T"
Cd 3.366 1.943 0.002
Na 1.683 0.972 8.380
Na 1.683 0.972 2.687
Mg 3.366 1.943 5.532